(1)
A plane-wave DFT calculation with SCAN was carried out for KCrAu3 at its PBEsol-relaxed geometry.

Results
The size of the total moment is 4.00 μB per cell. The calculation puts the calculated total energy at -46.750 eV/atom. As for the formation energy: 0.432 eV per formula unit.

Cell lengths 5.0064, 5.0064, 5.0064 Å; angles 90.00, 90.00, 90.00 degrees
Space group Pm-3m (No. 221)
Symmetry-distinct sites (fractional):
1 K 0.0000 0.0000 0.0000
2 Cr 0.5000 0.5000 0.5000
3 Au 0.0000 0.5000 0.5000

---

(2)
A plane-wave DFT calculation with SCAN was carried out for KCr2Au at its PBEsol-relaxed geometry.

Results
The size of the total moment is 0.00 μB per cell. The calculation puts the calculated total energy at -27.416 eV/atom. The calculation puts the energy above the lowest structure with this stoichiometry at 373 meV per atom. As for the formation energy: 4.593 eV per formula unit.

Cell lengths 2.5502, 5.0266, 11.0299 Å; angles 90.00, 90.00, 90.00 degrees
Space group Immm (No. 71)
Symmetry-distinct sites (fractional):
1 K 0.0000 0.0000 0.0000
2 Cr 0.0000 0.5000 0.2158
3 Au 0.0000 0.0000 0.5000

---

(3)
A plane-wave DFT calculation with SCAN was carried out for KCr2Au at its PBEsol-relaxed geometry.

Results
The size of the total moment is 1.93 μB per cell. The calculation puts the calculated total energy at -27.788 eV/atom. The calculation puts the energy above the lowest structure with this stoichiometry at 0 meV per atom. As for the formation energy: 3.103 eV per formula unit.

Cell lengths 3.5683, 3.5683, 7.1198 Å; angles 90.00, 90.00, 90.00 degrees
Space group P4/mmm (No. 123)
Symmetry-distinct sites (fractional):
1 K 0.0000 0.0000 0.0000
2 Cr 0.5000 0.5000 0.3748
3 Au 0.0000 0.0000 0.5000